Compound: NaCe2TcO8
Source: the Alexandria database
Functional: PBE
Structure: optimized geometry

Calculated values
The calculation puts the formation energy (no corrections) at -2.28 eV per atom. The calculation puts the total energy at -7.55 eV per atom.

Unit cell a=6.977 b=7.209 c=7.041 alpha=90.00 beta=90.00 gamma=90.00
Space group Cmmm (No. 65)
Asymmetric unit:
Na  0.000  0.000  0.000 (multiplicity 2)
Ce  0.000  0.500  0.245 (multiplicity 4)
Tc  0.000  0.000  0.500 (multiplicity 2)
O  0.000  0.181  0.310 (multiplicity 8)
O  0.182  0.500  0.000 (multiplicity 4)
O  0.214  0.500  0.500 (multiplicity 4)